A plane-wave DFT calculation with GGA-PBE was carried out for a geometry-optimized GaMoPd2Rh structure.

POSCAR file:
```
GaMoPd2Rh
1.0
4.8710 0.0000 0.0000
0.0000 4.5252 0.0000
0.0000 0.0000 4.8710
Ga Pd Mo Rh
1 2 1 1
direct
0.0000 0.5000 0.0000
0.5000 0.0000 0.0000
0.0000 0.0000 0.5000
0.5000 0.5000 0.5000
0.0000 0.0000 0.0000
```

Calculated values
Energy of formation in meV per atom: 1158
Space-group type: No. 123
Offset from the most stable computed form in meV/atom: 0.0

***

A plane-wave DFT calculation with GGA-PBE was carried out for a geometry-optimized Pa2AlVN6 structure.

POSCAR file:
```
Pa2AlVN6
1.0
5.3485 0.0000 -0.0152
0.0000 5.5556 0.0000
0.0262 0.0000 7.5632
N V Pa Al
12 2 4 2
direct
0.6901 0.3066 0.9460
0.8050 0.8103 0.9487
0.0997 0.4686 0.7483
0.6950 0.3103 0.5513
0.4003 0.9686 0.7517
0.8099 0.8066 0.5540
0.5997 0.0314 0.2483
0.9003 0.5314 0.2517
0.3050 0.6897 0.4487
0.1901 0.1934 0.4460
0.3099 0.6934 0.0540
0.1950 0.1897 0.0513
0.0000 0.5000 0.5000
0.5000 0.0000 0.0000
0.0125 0.9348 0.2491
0.9875 0.0652 0.7509
0.4875 0.4348 0.2509
0.5125 0.5652 0.7491
0.5000 0.0000 0.5000
0.0000 0.5000 0.0000
```

Calculated values
Formation energy from raw total energies in eV/atom: -1.282
Space-group type: No. 14

***

A plane-wave DFT calculation with GGA-PBE was carried out for a geometry-optimized Ca3Sb structure.

POSCAR file:
```
Ca3Sb
1.0
5.0085 0.0000 0.0000
0.0000 5.0085 0.0000
0.0000 0.0000 5.0085
Ca Sb
3 1
direct
0.5000 0.0000 0.5000
0.0000 0.5000 0.5000
0.5000 0.5000 0.0000
0.0000 0.0000 0.0000
```

Calculated values
Formation energy from raw total energies in eV/atom: -0.535
Space-group type: No. 221
Offset from the most stable computed form in meV/atom: 0.0

***

A plane-wave DFT calculation with GGA-PBE was carried out for a geometry-optimized Ti3NiW structure.

POSCAR file:
```
Ti3NiW
1.0
4.4442 0.0000 0.0000
0.0000 4.4442 0.0000
0.0000 0.0000 4.4442
Ti Ni W
3 1 1
direct
0.0000 0.5000 0.0000
0.5000 0.0000 0.0000
0.0000 0.0000 0.5000
0.0000 0.0000 0.0000
0.5000 0.5000 0.5000
```

Calculated values
Energy of formation in meV per atom: 679
Space-group type: No. 221
Offset from the most stable computed form in meV/atom: 0.0

***

A plane-wave DFT calculation with GGA-PBE was carried out for a geometry-optimized CsWIN2 structure.

POSCAR file:
```
CsWIN2
1.0
4.4799 0.0000 0.0000
0.0000 4.4799 0.0000
0.0000 0.0000 7.2947
W N I Cs
1 2 1 1
direct
0.5000 0.5000 0.5000
0.0000 0.5000 0.0000
0.5000 0.0000 0.0000
0.0000 0.0000 0.5000
0.0000 0.0000 0.0000
```

Calculated values
Formation energy from raw total energies in eV/atom: 2.998
Space-group type: No. 123
Offset from the most stable computed form in meV/atom: 2353.2

***

A plane-wave DFT calculation with GGA-PBE was carried out for a geometry-optimized Mn4TcAg structure.

POSCAR file:
```
Mn4TcAg
1.0
0.0000 3.3592 3.3592
3.3592 0.0000 3.3592
3.3592 3.3592 0.0000
Mn Tc Ag
4 1 1
direct
0.3740 0.3740 0.8780
0.3740 0.3740 0.3740
0.3740 0.8780 0.3740
0.8780 0.3740 0.3740
0.7500 0.7500 0.7500
0.0000 0.0000 0.0000
```

Calculated values
Energy of formation in meV per atom: 255
Space-group type: No. 216

***

A plane-wave DFT calculation with GGA-PBE was carried out for a geometry-optimized YTl2Ga2 structure.

POSCAR file:
```
YTl2Ga2
1.0
-1.1626 -7.1393 3.1839
3.8241 -3.3269 -6.0635
3.3900 0.3225 1.9611
Ga Tl Y
4 4 2
direct
0.1201 0.3799 0.0000
0.8799 0.6201 0.0000
0.3799 0.8799 0.0000
0.6201 0.1201 0.0000
0.8214 0.3214 0.5000
0.3214 0.1786 0.5000
0.1786 0.6786 0.5000
0.6786 0.8214 0.5000
0.5000 0.5000 0.0000
0.0000 0.0000 0.0000
```

Calculated values
Energy of formation in meV per atom: -112
Space-group type: No. 127
Offset from the most stable computed form in meV/atom: 0.0

***

A plane-wave DFT calculation with GGA-PBE was carried out for a geometry-optimized MgMoS2N structure.

POSCAR file:
```
MgMoS2N
1.0
4.6459 0.0000 0.0000
0.0000 4.6459 0.0000
0.0000 0.0000 3.7342
S N Mo Mg
2 1 1 1
direct
0.0000 0.5000 0.0000
0.5000 0.0000 0.0000
0.0000 0.0000 0.5000
0.5000 0.5000 0.5000
0.0000 0.0000 0.0000
```

Calculated values
Formation energy from raw total energies in eV/atom: 1.093
Space-group type: No. 123
Offset from the most stable computed form in meV/atom: 1298.3

***

A plane-wave DFT calculation with GGA-PBE was carried out for a geometry-optimized CaAs2Pb structure.

POSCAR file:
```
CaAs2Pb
1.0
-3.6696 -2.2723 2.9057
-2.9142 -3.8155 -2.0056
0.6401 -4.8972 1.6372
Ca As Pb
1 2 1
direct
0.5000 0.5000 0.5000
0.0000 0.0000 0.0000
0.2500 0.2500 0.2500
0.7500 0.7500 0.7500
```

Calculated values
Energy of formation in meV per atom: -98
Space-group type: No. 216

***

A plane-wave DFT calculation with GGA-PBE was carried out for a geometry-optimized Ce4P3H structure.

POSCAR file:
```
Ce4P3H
1.0
2.5750 -6.3896 0.9574
6.2833 -0.4123 -2.9535
1.7006 1.2011 3.4483
P H Ce
3 1 4
direct
0.5000 0.0000 0.5000
0.0000 0.5000 0.5000
0.0000 0.0000 0.0000
0.5000 0.5000 0.0000
0.7488 0.7488 0.9999
0.2495 0.7505 0.5000
0.7505 0.2495 0.5000
0.2512 0.2512 0.0001
```

Calculated values
Space-group type: No. 65
E in eV/atom: -6.571

***

A plane-wave DFT calculation with GGA-PBE was carried out for a geometry-optimized PmPrTlSn structure.

POSCAR file:
```
PmPrTlSn
1.0
-2.2447 4.4511 2.3445
-5.1266 1.5210 -1.3239
-4.0759 -0.5749 3.6612
Tl Pm Sn Pr
1 1 1 1
direct
0.7500 0.7500 0.7500
0.0000 0.0000 0.0000
0.2500 0.2500 0.2500
0.5000 0.5000 0.5000
```

Calculated values
Energy of formation in meV per atom: -510
Space-group type: No. 216
Offset from the most stable computed form in meV/atom: 7.5

***

A plane-wave DFT calculation with GGA-PBE was carried out for a geometry-optimized W2SeS structure.

POSCAR file:
```
W2SeS
1.0
0.0000 3.0857 3.0857
3.0857 0.0000 3.0857
3.0857 3.0857 0.0000
S W Se
1 2 1
direct
0.0000 0.0000 0.0000
0.2500 0.2500 0.2500
0.7500 0.7500 0.7500
0.5000 0.5000 0.5000
```

Calculated values
Formation energy from raw total energies in eV/atom: 0.405
Space-group type: No. 225
Offset from the most stable computed form in meV/atom: 61.1